A relaxed MnMo2Pt crystal. Source: the Alexandria database, functional PBE.

Output
Space-group type   Cmmm, No. 65
Total DFT energy (no corrections)   -0.682 Ry/atom
Calculated formation energy   -0.067 eV per atom

abc: 4.863 4.863 2.699
angles: 90.00 90.00 112.25
Last column: magnetic moment on the atom in μB.
Positions (direct):
Mn 0.000 0.500 0.500  2.15
Mo 0.000 0.000 0.000  -0.22
Mo 0.500 0.500 0.000  -0.22
Pt 0.500 0.000 0.500  -0.04



A relaxed LiTlZn crystal. Source: the Alexandria database, functional PBE.

Output
Space-group type   P3m1, No. 156
Total DFT energy (no corrections)   -0.135 Ry/atom
Calculated formation energy   0.011 eV per atom

abc: 3.254 3.254 6.965
angles: 90.00 90.00 120.00
Positions (direct):
Li 0.000 0.000 0.982
Tl 0.667 0.333 0.331
Zn 0.333 0.667 0.688



A relaxed SrAsPb crystal. Source: the Alexandria database, functional PBE.

Output
Space-group type   F-43m, No. 216
Total DFT energy (no corrections)   -0.253 Ry/atom
Calculated formation energy   -0.098 eV per atom

abc: 5.248 5.248 5.248
angles: 60.00 60.00 60.00
Positions (direct):
Pb 0.500 0.500 0.500
Sr 0.250 0.250 0.250
As 0.000 0.000 0.000



A relaxed Cs2HoPu3O12 crystal. Source: the Alexandria database, functional PBE.

Output
Space-group type   R-3m, No. 166
Total DFT energy (no corrections)   -0.634 Ry/atom
Formation energy (no corrections)   -249.25 kJ/mol of atoms

abc: 7.763 7.763 7.763
angles: 61.77 61.77 61.77
Last column: magnetic moment on the atom in μB.
Positions (direct):
Cs 0.623 0.623 0.623  0.00
Cs 0.377 0.377 0.377  0.00
Ho 0.000 0.000 0.000  -0.03
Pu 0.500 0.000 0.000  2.13
Pu 0.000 0.500 0.000  2.13
Pu 0.000 0.000 0.500  2.13
O 0.311 0.311 0.933  -0.12
O 0.930 0.930 0.338  -0.09
O 0.338 0.930 0.930  -0.09
O 0.933 0.311 0.311  -0.12
O 0.930 0.338 0.930  -0.09
O 0.311 0.933 0.311  -0.12
O 0.689 0.689 0.067  -0.12
O 0.070 0.070 0.662  -0.09
O 0.662 0.070 0.070  -0.09
O 0.067 0.689 0.689  -0.12
O 0.070 0.662 0.070  -0.09
O 0.689 0.067 0.689  -0.12



A relaxed H2PtRh crystal. Source: the Alexandria database, functional PBE.

Output
Space-group type   Fm-3m, No. 225
Total DFT energy (no corrections)   -0.329 Ry/atom

abc: 3.760 3.760 3.760
angles: 60.00 60.00 60.00
Positions (direct):
H 0.250 0.250 0.250
H 0.750 0.750 0.750
Rh 0.000 0.000 0.000
Pt 0.500 0.500 0.500



A relaxed LiTcOF2 crystal. Source: the Alexandria database, functional PBE.

Output
Space-group type   P4/mmm, No. 123
Total DFT energy (no corrections)   -0.394 Ry/atom
Formation energy (no corrections)   -112.80 kJ/mol of atoms

abc: 3.448 3.448 4.118
angles: 90.00 90.00 90.00
Last column: magnetic moment on the atom in μB.
Positions (direct):
Li 0.000 0.000 0.000  0.00
Tc 0.500 0.500 0.500  3.52
O 0.000 0.000 0.500  0.00
F 0.000 0.500 0.000  0.08
F 0.500 0.000 0.000  0.08



A relaxed K3SeI crystal. Source: the Alexandria database, functional PBE.

Output
Space-group type   Pm-3m, No. 221
Total DFT energy (no corrections)   -0.208 Ry/atom
Formation energy (no corrections)   -111.88 kJ/mol of atoms

abc: 6.223 6.223 6.223
angles: 90.00 90.00 90.00
Positions (direct):
I 0.500 0.500 0.500
K 0.000 0.500 0.000
K 0.000 0.000 0.500
K 0.500 0.000 0.000
Se 0.000 0.000 0.000



A relaxed Mn3VCo crystal. Source: the Alexandria database, functional PBE.

Output
Space-group type   Pm-3m, No. 221
Total DFT energy (no corrections)   -0.573 Ry/atom
Calculated formation energy   0.956 eV per atom

abc: 4.389 4.389 4.389
angles: 90.00 90.00 90.00
Last column: magnetic moment on the atom in μB.
Positions (direct):
Mn 0.000 0.500 0.000  3.39
Mn 0.000 0.000 0.500  3.39
Mn 0.500 0.000 0.000  3.39
Co 0.000 0.000 0.000  1.08
V 0.500 0.500 0.500  -2.66



A relaxed Nb5Si2Sn crystal. Source: the Alexandria database, functional PBE.

Output
Space-group type   I4/mcm, No. 140
Total DFT energy (no corrections)   -0.639 Ry/atom
Formation energy (no corrections)   -51.91 kJ/mol of atoms

abc: 6.762 6.762 7.743
angles: 115.89 115.89 90.00
Positions (direct):
Nb 0.519 0.695 0.714
Nb 0.805 0.981 0.286
Nb 0.000 0.000 0.000
Nb 0.500 0.500 0.000
Nb 0.195 0.019 0.714
Nb 0.695 0.195 0.714
Nb 0.019 0.519 0.714
Nb 0.305 0.805 0.286
Nb 0.981 0.481 0.286
Nb 0.481 0.305 0.286
Si 0.131 0.369 0.000
Si 0.631 0.131 0.000
Si 0.369 0.869 0.000
Si 0.869 0.631 0.000
Sn 0.750 0.750 0.500
Sn 0.250 0.250 0.500



A relaxed Sr2Tb3Te6 crystal. Source: the Alexandria database, functional PBE.

Output
Space-group type   C2/m, No. 12
Total DFT energy (no corrections)   -0.354 Ry/atom
Formation energy (no corrections)   -147.53 kJ/mol of atoms

abc: 7.689 7.689 8.083
angles: 80.84 71.43 60.00
Positions (direct):
Sr 0.166 0.668 0.500
Sr 0.834 0.332 0.500
Tb 0.000 0.000 0.000
Tb 0.332 0.336 0.000
Tb 0.668 0.664 0.000
Te 0.411 0.671 0.768
Te 0.740 0.000 0.769
Te 0.082 0.329 0.768
Te 0.260 0.000 0.231
Te 0.589 0.329 0.232
Te 0.918 0.671 0.232



A relaxed Sr2LiCrMo crystal. Source: the Alexandria database, functional PBE.

Output
Space-group type   P4/mmm, No. 123
Total DFT energy (no corrections)   -0.253 Ry/atom
Calculated formation energy   1.708 eV per atom

abc: 5.641 4.624 5.641
angles: 90.00 90.00 90.00
Last column: magnetic moment on the atom in μB.
Positions (direct):
Sr 0.000 0.000 0.500  0.01
Sr 0.500 0.000 0.000  0.02
Mo 0.000 0.500 0.000  2.54
Li 0.000 0.000 0.000  -0.01
Cr 0.500 0.500 0.500  0.05



A relaxed SmScH4 crystal. Source: the Alexandria database, functional PBE.

Output
Space-group type   P4/mmm, No. 123
Total DFT energy (no corrections)   -0.348 Ry/atom

abc: 3.556 3.556 5.140
angles: 90.00 90.00 90.00
Positions (direct):
Sm 0.501 0.497 0.998
Sc 0.001 0.997 0.498
H 0.501 0.997 0.278
H 0.501 0.997 0.718
H 0.001 0.497 0.718
H 0.001 0.497 0.278



Which of these has the lowest total DFT energy (no corrections)? MnMo2Pt